Here is crystalline Y4PtRh at its relaxed geometry from Alexandria via LeMat-Bulk. Energies are from PBE.

abc: 9.3139 13.8122 6.8668
angles: 90.00 132.69 90.00
Space group C2/c (No. 15)
Unique sites:
Y 0.2192 0.2495 0.2205 (multiplicity 8)
Y 0.2487 0.0005 0.7787 (multiplicity 8)
Pt 0.0000 0.3749 0.7500 (multiplicity 4)
Rh 0.0000 0.1246 0.2500 (multiplicity 4)

Values from the calculation:
- Calculated volume: 649 Å³ per cell
- VASP energy: -0.5327 Ry per atom
- Energy above the most stable polymorph in this dataset: 0 meV per atom
- DFT formation energy: -4.2 eV per formula unit